No. 1
Crystalline Pm4TlHg2Au at its relaxed geometry. Source: the Alexandria database, functional PBE.

Computed properties:
Raw total energy (eV/atom): -3.68
ΔH_f (0 K) (eV/atom): -0.5197
N(E_F) (states/eV/f.u.): 9.3

Cell: 9.294 9.294 9.294 Å, 33.62 33.62 33.62°
Fractional positions:
Pm: 0.119 0.119 0.119
Pm: 0.370 0.370 0.370
Pm: 0.630 0.630 0.630
Pm: 0.881 0.881 0.881
Tl: 0.500 0.500 0.500
Hg: 0.245 0.245 0.245
Hg: 0.755 0.755 0.755
Au: 0.000 0.000 0.000

***

No. 2
Crystalline Pm2TmHgAu4 at its relaxed geometry. Source: the Alexandria database, functional PBE.

Computed properties:
Raw total energy (eV/atom): -4.18
ΔH_f (0 K) (eV/atom): -0.7609
N(E_F) (states/eV/f.u.): 6.1

Cell: 8.944 8.944 8.944 Å, 32.90 32.90 32.90°
Fractional positions:
Pm: 0.241 0.241 0.241
Pm: 0.759 0.759 0.759
Tm: 0.000 0.000 0.000
Hg: 0.500 0.500 0.500
Au: 0.116 0.116 0.116
Au: 0.362 0.362 0.362
Au: 0.638 0.638 0.638
Au: 0.884 0.884 0.884

***

No. 3
Crystalline PmYHgAu at its relaxed geometry. Source: the Alexandria database, functional PBE.

Computed properties:
Raw total energy (eV/atom): -4.35
ΔH_f (0 K) (eV/atom): -0.6520
Energy relative to the lowest polymorph listed for this composition (meV/atom): 0
N(E_F) (states/eV/f.u.): 3.6

Cell: 3.706 3.706 7.432 Å, 90.00 90.00 90.00°
Fractional positions:
Pm: 0.000 0.000 0.000
Y: 0.000 0.000 0.479
Hg: 0.500 0.500 0.731
Au: 0.500 0.500 0.254

***

No. 4
Crystalline PmYHgAu at its relaxed geometry. Source: the Alexandria database, functional PBE.

Computed properties:
Raw total energy (eV/atom): -4.34
ΔH_f (0 K) (eV/atom): -0.6395
Energy relative to the lowest polymorph listed for this composition (meV/atom): 12
N(E_F) (states/eV/f.u.): 3.5

Cell: 5.248 5.248 5.248 Å, 60.00 60.00 60.00°
Fractional positions:
Pm: 0.000 0.000 0.000
Y: 0.500 0.500 0.500
Hg: 0.250 0.250 0.250
Au: 0.750 0.750 0.750

***

Among the records above, which one has the lowest raw total energy?
number 3

***

Which of these has the highest ΔH_f (0 K)?
Pm4TlHg2Au

***

Among the records above, which one has the highest N(E_F)?
Pm4TlHg2Au

***

What is the formula in the second record?
Pm2TmHgAu4